A plane-wave DFT calculation with PBE was carried out for a geometry-optimized Ge2SbHAu structure.

Values from the calculation:
Its offset from the most stable computed form is 0.0 kJ/mol of atoms. As for the crystal system: tetragonal.

abc: 4.218 4.987 4.218
angles: 90.00 90.00 90.00
Element x y z (fractional)
Sb: 0.000 0.500 0.000
Ge: 0.000 0.000 0.500
Ge: 0.500 0.000 0.000
Au: 0.500 0.500 0.500
H: 0.000 0.000 0.000